# BaIn6Au12 PBE relaxed
data_BaIn6Au12
_space_group_name_H-M_alt 'P 1'
_space_group_IT_number 1
_cell_length_a 7.827
_cell_length_b 7.827
_cell_length_c 7.827
_cell_angle_alpha 103.92
_cell_angle_beta 103.92
_cell_angle_gamma 103.92
loop_
_space_group_symop_operation_xyz
'x,y,z'
loop_
_atom_site_label
_atom_site_type_symbol
_atom_site_fract_x
_atom_site_fract_y
_atom_site_fract_z
Au1 Au 0.629 0.883 0.629
Au2 Au 0.888 0.500 0.112
Au3 Au 0.500 0.112 0.888
Au4 Au 0.117 0.371 0.371
Au5 Au 0.371 0.371 0.117
Au6 Au 0.500 0.888 0.112
Au7 Au 0.112 0.500 0.888
Au8 Au 0.112 0.888 0.500
Au9 Au 0.371 0.117 0.371
Au10 Au 0.888 0.112 0.500
Au11 Au 0.883 0.629 0.629
Au12 Au 0.629 0.629 0.883
In1 In 0.286 0.694 0.286
In2 In 0.286 0.286 0.694
In3 In 0.306 0.714 0.714
In4 In 0.714 0.306 0.714
In5 In 0.714 0.714 0.306
In6 In 0.694 0.286 0.286
Ba1 Ba 0.000 0.000 0.000
# E: -0.1196 Ha/atom
# Magnetization: 0.00 Bohr magnetons per cell
# Offset from the most stable computed form: 0.011 eV/atom
# Density: 12.4 Mg/m³

# BaIn3Au3 PBE relaxed
data_BaIn3Au3
_space_group_name_H-M_alt 'P 1'
_space_group_IT_number 1
_cell_length_a 9.764
_cell_length_b 9.764
_cell_length_c 4.550
_cell_angle_alpha 90.00
_cell_angle_beta 90.00
_cell_angle_gamma 120.00
loop_
_space_group_symop_operation_xyz
'x,y,z'
loop_
_atom_site_label
_atom_site_type_symbol
_atom_site_fract_x
_atom_site_fract_y
_atom_site_fract_z
Au1 Au 0.561 0.951 0.250
Au2 Au 0.439 0.049 0.750
Au3 Au 0.610 0.561 0.750
Au4 Au 0.049 0.610 0.250
Au5 Au 0.390 0.439 0.250
Au6 Au 0.951 0.390 0.750
In1 In 0.047 0.268 0.250
In2 In 0.732 0.778 0.250
In3 In 0.268 0.222 0.750
In4 In 0.953 0.732 0.750
In5 In 0.778 0.047 0.750
In6 In 0.222 0.953 0.250
Ba1 Ba 0.667 0.333 0.250
Ba2 Ba 0.333 0.667 0.750
# E: -0.1184 Ha/atom
# Magnetization: 0.00 Bohr magnetons per cell
# Offset from the most stable computed form: 0.000 eV/atom
# Density: 9.5 Mg/m³

Q: What is the offset from the most stable computed form in the second record?
A: 0.000 eV/atom